An optimized crystal structure of Rb2BaAlGe2, computed with GGA-PBE.

Values from the calculation:
* total energy: -35.42 eV/cell
* formation energy from the elements: -0.145 eV/atom

Lattice parameters (Å, degrees): 9.411 9.411 9.411 131.11 74.18 127.95
Fractional coordinates of all 12 atoms:
1 Rb 0.200 0.174 0.374
2 Rb 0.300 0.674 0.975
3 Rb 0.700 0.326 0.025
4 Rb 0.800 0.826 0.626
5 Ba 0.250 0.750 0.500
6 Ba 0.750 0.250 0.500
7 Al 0.250 0.250 0.000
8 Al 0.750 0.750 0.000
9 Ge 0.049 0.820 0.869
10 Ge 0.451 0.320 0.771
11 Ge 0.549 0.680 0.229
12 Ge 0.951 0.180 0.131